(1)
! PBE MnIr2PdAu, relaxed; values from VASP
! **Crystal system**: tetragonal
! **Electronic total energy**: -5.07 eV per atom
! **DOS at the Fermi energy**: 1.5183 states/eV/atom
! **Energy relative to the elements**: 2.00 eV/atom
&SYSTEM
  ibrav = 0, nat = 5, ntyp = 4
/
ATOMIC_SPECIES
Mn 54.94 Mn.upf
Ir 192.22 Ir.upf
Pd 106.42 Pd.upf
Au 196.97 Au.upf
CELL_PARAMETERS angstrom
4.7955 0.0000 0.0000
0.0000 4.7955 0.0000
0.0000 0.0000 4.3723
ATOMIC_POSITIONS crystal
Mn 0.0000 0.0000 0.0000
Ir 0.0000 0.5000 0.5000
Ir 0.5000 0.0000 0.5000
Pd 0.0000 0.0000 0.5000
Au 0.5000 0.5000 0.0000

---

(2)
! PBE HoScCoAg, relaxed; values from VASP
! **Crystal system**: cubic
! **Electronic total energy**: -5.41 eV per atom
! **DOS at the Fermi energy**: 0.8406 states/eV/atom
! **Energy relative to the elements**: -0.20 eV/atom
! **Energy above the most stable polymorph in this dataset**: 87 meV/atom
&SYSTEM
  ibrav = 0, nat = 16, ntyp = 4
/
ATOMIC_SPECIES
Ho 164.93 Ho.upf
Sc 44.96 Sc.upf
Co 58.93 Co.upf
Ag 107.87 Ag.upf
CELL_PARAMETERS angstrom
6.7733 0.0000 0.0000
0.0000 6.7733 0.0000
0.0000 0.0000 6.7733
ATOMIC_POSITIONS crystal
Ho 0.0000 0.0000 0.0000
Ho 0.0000 0.5000 0.5000
Ho 0.5000 0.0000 0.5000
Ho 0.5000 0.5000 0.0000
Sc 0.0000 0.0000 0.5000
Sc 0.0000 0.5000 0.0000
Sc 0.5000 0.0000 0.0000
Sc 0.5000 0.5000 0.5000
Co 0.2500 0.2500 0.2500
Co 0.2500 0.7500 0.7500
Co 0.7500 0.2500 0.7500
Co 0.7500 0.7500 0.2500
Ag 0.2500 0.2500 0.7500
Ag 0.2500 0.7500 0.2500
Ag 0.7500 0.2500 0.2500
Ag 0.7500 0.7500 0.7500

---

(3)
! PBE SmY5Hg, relaxed; values from VASP
! **Crystal system**: monoclinic
! **Electronic total energy**: -5.36 eV per atom
! **DOS at the Fermi energy**: 1.3620 states/eV/atom
! **Energy relative to the elements**: -0.03 eV/atom
&SYSTEM
  ibrav = 0, nat = 14, ntyp = 3
/
ATOMIC_SPECIES
Sm 150.36 Sm.upf
Y 88.91 Y.upf
Hg 200.59 Hg.upf
CELL_PARAMETERS angstrom
4.4289 -4.0654 0.0000
4.4289 4.0654 0.0000
-2.2433 0.0000 12.0913
ATOMIC_POSITIONS crystal
Sm 0.1420 0.8580 0.7500
Sm 0.8580 0.1420 0.2500
Y 0.0130 0.2883 0.5766
Y 0.0598 0.3869 0.8686
Y 0.2883 0.0130 0.0766
Y 0.3869 0.0598 0.3686
Y 0.4661 0.5339 0.2500
Y 0.5339 0.4661 0.7500
Y 0.6131 0.9402 0.6314
Y 0.7117 0.9870 0.9234
Y 0.9402 0.6131 0.1314
Y 0.9870 0.7117 0.4234
Hg 0.5000 0.5000 0.0000
Hg 0.5000 0.5000 0.5000

---

(4)
! PBE AlCoTe2, relaxed; values from VASP
! **Crystal system**: monoclinic
! **Electronic total energy**: -4.42 eV per atom
! **DOS at the Fermi energy**: 0.7076 states/eV/atom
! **Formation energy from raw total energies**: -140 meV per atom
&SYSTEM
  ibrav = 0, nat = 8, ntyp = 3
/
ATOMIC_SPECIES
Al 26.98 Al.upf
Co 58.93 Co.upf
Te 127.60 Te.upf
CELL_PARAMETERS angstrom
8.3196 0.0000 0.0000
0.0000 3.7232 0.0000
-2.4413 0.0000 6.4259
ATOMIC_POSITIONS crystal
Al 0.0000 0.0000 0.0000
Al 0.5000 0.5000 0.0000
Co 0.2205 0.5000 0.9990
Co 0.7205 0.0000 0.9990
Te 0.1703 0.0000 0.7325
Te 0.3298 0.0000 0.2643
Te 0.6703 0.5000 0.7325
Te 0.8298 0.5000 0.2643